Record 1
The following is a DFT calculation (GGA-PBE) of a relaxed structure of ZrTeNO.

Computed properties:
Offset from the most stable computed form = 0.000 eV per atom
VASP energy = -7.5478 eV/atom

POSCAR file:
```
ZrTeNO
1.0
5.192 0.000 0.000
0.000 9.208 0.000
0.000 0.000 5.396
Zr Te N O
4 4 4 4
Direct
0.053 0.121 0.000
0.447 0.121 0.500
0.553 0.879 0.000
0.947 0.879 0.500
0.073 0.624 0.019
0.427 0.624 0.519
0.573 0.376 0.019
0.927 0.376 0.519
0.170 0.249 0.320
0.330 0.249 0.820
0.670 0.751 0.320
0.830 0.751 0.820
0.244 0.966 0.247
0.256 0.966 0.747
0.744 0.034 0.247
0.756 0.034 0.747
```


Record 2
The following is a DFT calculation (GGA-PBE) of a relaxed structure of BiIrPb.

Computed properties:
VASP energy = -5.4155 eV/atom

POSCAR file:
```
BiIrPb
1.0
0.000 3.361 3.361
3.361 0.000 3.361
3.361 3.361 0.000
Bi Ir Pb
1 1 1
Direct
0.000 0.000 0.000
0.250 0.250 0.250
0.500 0.500 0.500
```


Record 3
The following is a DFT calculation (GGA-PBE) of a relaxed structure of MgAlCoGe.

Computed properties:
Offset from the most stable computed form = 0.077 eV per atom
VASP energy = -4.1589 eV/atom

POSCAR file:
```
MgAlCoGe
1.0
0.000 3.109 3.109
3.109 0.000 3.109
3.109 3.109 0.000
Mg Al Co Ge
1 1 1 1
Direct
0.000 0.000 0.000
0.500 0.500 0.500
0.250 0.250 0.250
0.750 0.750 0.750
```


Record 4
The following is a DFT calculation (GGA-PBE) of a relaxed structure of HfAl3.

Computed properties:
VASP energy = -5.6662 eV/atom

POSCAR file:
```
HfAl3
1.0
4.088 0.000 0.000
0.000 4.088 0.000
0.000 0.000 4.088
Hf Al
1 3
Direct
0.000 0.000 0.000
0.000 0.500 0.500
0.500 0.000 0.500
0.500 0.500 0.000
```